# 1
Material: PrEr2In
Method: DFT, GGA-PBE
State: optimized geometry

Cell lengths 5.476, 5.476, 5.476 Å; angles 60.00, 60.00, 60.00 degrees
Fractional coordinates of all 4 atoms:
Pr  0.000  0.000  0.000
In  0.500  0.500  0.500
Er  0.250  0.250  0.250
Er  0.750  0.750  0.750

Summary:
- energy relative to the elements (eV per atom) = -0.076
- V (Å³ per cell) = 116
- space group = Fm-3m (225)
- magnetic moment (μB per formula unit) = 1.58
- E (eV/atom) = -4.24



# 2
Material: ZrPaCl
Method: DFT, GGA-PBE
State: optimized geometry

Cell lengths 3.352, 3.352, 15.469 Å; angles 85.52, 85.52, 58.19 degrees
Fractional coordinates of all 6 atoms:
Pa  0.969  0.969  0.239
Pa  0.784  0.784  0.068
Zr  0.613  0.613  0.414
Zr  0.140  0.140  0.894
Cl  0.258  0.258  0.530
Cl  0.495  0.495  0.777

Summary:
- V (Å³ per cell) = 147
- space group = C2/m (12)
- magnetic moment (μB per formula unit) = 0.00
- E (eV/atom) = -7.41
- formation energy without anion corrections (eV per atom) = -0.780



# 3
Material: KScRh2F
Method: DFT, GGA-PBE
State: optimized geometry

Cell lengths 4.582, 4.427, 4.582 Å; angles 90.00, 90.00, 90.00 degrees
Fractional coordinates of all 5 atoms:
Sc  0.500  0.500  0.500
K  0.000  0.500  0.000
Rh  0.000  0.000  0.500
Rh  0.500  0.000  0.000
F  0.000  0.000  0.000

Summary:
- V (Å³ per cell) = 93
- space group = P4/mmm (123)
- magnetic moment (μB per formula unit) = 0.00
- E (eV/atom) = -4.76
- formation energy without anion corrections (eV per atom) = 0.042



# 4
Material: RbPdBr3
Method: DFT, GGA-PBE
State: optimized geometry

Cell lengths 7.674, 7.674, 7.900 Å; angles 90.00, 90.00, 114.80 degrees
Fractional coordinates of all 10 atoms:
Br  0.437  0.150  0.250
Br  0.850  0.563  0.250
Br  0.150  0.437  0.750
Br  0.563  0.850  0.750
Br  0.000  0.000  0.000
Br  0.000  0.000  0.500
Rb  0.398  0.602  0.250
Rb  0.602  0.398  0.750
Pd  0.117  0.883  0.250
Pd  0.883  0.117  0.750

Summary:
- V (Å³ per cell) = 422
- space group = Cmcm (63)
- magnetic moment (μB per formula unit) = 0.00
- E (eV/atom) = -2.97
- formation energy without anion corrections (eV per atom) = -0.732



# 5
Material: CaCdOs4
Method: DFT, GGA-PBE
State: optimized geometry

Cell lengths 5.303, 5.303, 5.303 Å; angles 60.00, 60.00, 60.00 degrees
Fractional coordinates of all 6 atoms:
Ca  0.750  0.750  0.750
Cd  0.000  0.000  0.000
Os  0.876  0.375  0.375
Os  0.375  0.375  0.876
Os  0.375  0.876  0.375
Os  0.375  0.375  0.375

Summary:
- energy relative to the elements (eV per atom) = 0.401
- V (Å³ per cell) = 105
- space group = F-43m (216)
- magnetic moment (μB per formula unit) = 0.01
- E (eV/atom) = -7.57



# 6
Material: Tc2MoAs
Method: DFT, GGA-PBE
State: optimized geometry

Cell lengths 5.926, 5.926, 6.398 Å; angles 62.41, 62.41, 90.00 degrees
Fractional coordinates of all 8 atoms:
As  0.500  0.500  0.000
As  0.250  0.750  0.500
Mo  0.000  0.000  0.000
Mo  0.750  0.250  0.500
Tc  0.620  0.125  0.250
Tc  0.130  0.625  0.250
Tc  0.375  0.380  0.750
Tc  0.875  0.870  0.750

Summary:
- energy relative to the elements (eV per atom) = 0.960
- V (Å³ per cell) = 170
- space group = I-42d (122)
- magnetic moment (μB per formula unit) = 0.00
- E (eV/atom) = -8.09



- Which of these has the lowest V?
  KScRh2F



- Which value of E does entry 6 give?
  -8.09 eV/atom



- Look up the magnetic moment of the sixth one.
  0.00 μB per formula unit



- Among the records above, which one has the lowest E?
  Tc2MoAs